# BaLi2GeAu

An optimized crystal structure of BaLi2GeAu (PBE, Alexandria).

POSCAR file:
```
BaLi2GeAu
1.0
-0.773 -3.042 3.976
3.994 -2.802 -1.367
3.001 2.907 2.808
Ge Au Ba Li
1 1 1 2
direct
0.000 0.000 0.500
0.000 0.000 0.000
0.500 0.500 0.500
0.000 0.500 0.000
0.500 0.000 0.000
```

* crystal system: tetragonal
* formation energy: -0.31 eV/atom
* Fermi-level density of states: 2.6 states/eV per cell
* symmetry: P4/mmm, No. 123

=====

# Ba2LiGe3Au12

An optimized crystal structure of Ba2LiGe3Au12 (PBE, Alexandria).

POSCAR file:
```
Ba2LiGe3Au12
1.0
8.277 -0.514 -0.364
3.641 7.451 -0.364
3.641 2.119 7.153
Ba Li Ge Au
2 1 3 12
direct
0.616 0.616 0.616
0.384 0.384 0.384
0.000 0.000 0.000
0.500 0.000 0.000
0.000 0.500 0.000
0.000 0.000 0.500
0.323 0.323 0.850
0.879 0.879 0.345
0.345 0.879 0.879
0.850 0.323 0.323
0.879 0.345 0.879
0.323 0.850 0.323
0.677 0.677 0.150
0.121 0.121 0.655
0.655 0.121 0.121
0.150 0.677 0.677
0.121 0.655 0.121
0.677 0.150 0.677
```

* crystal system: trigonal
* formation energy: -0.14 eV/atom
* Fermi-level density of states: 9.6 states/eV per cell
* symmetry: R-3m, No. 166

=====

# Ba2MgGeAu

An optimized crystal structure of Ba2MgGeAu (PBE, Alexandria).

POSCAR file:
```
Ba2MgGeAu
1.0
6.421 0.000 0.000
0.000 4.842 0.000
0.000 0.000 6.421
Mg Ge Au Ba
1 1 1 2
direct
0.500 0.500 0.500
0.000 0.500 0.000
0.000 0.000 0.000
0.000 0.000 0.500
0.500 0.000 0.000
```

* crystal system: tetragonal
* formation energy: -0.20 eV/atom
* Fermi-level density of states: 4.9 states/eV per cell
* symmetry: P4/mmm, No. 123

=====

Total energy for the records above, in order: -3.04; -3.42; -2.87 eV per atom
Ρ for the records above, in order: 5.409; 10.144; 4.730 Mg/m³
Total moment for the records above, in order: 0.55; 0.00; 0.00 μB per formula unit